VASP calculation (GGA-PBE) on an optimized crystal structure of CeMgSc.

Energy, eV per atom: -4.587
Theoretical density, Mg/m³: 4.5
ΔE to the lowest computed polymorph, eV/f.u.: 0.09

abc: 3.2423 3.2423 7.6274
angles: 102.27 102.27 90.00
With the nearest neighbours (Å) after each atom.
Fractional coordinates of all 3 atoms:
Sc (0.9549, 0.9549, 0.9098)  4 Mg 3.22, 4 Sc 3.24, 4 Ce 3.37
Mg (0.6099, 0.6099, 0.2199)  4 Sc 3.22, 4 Mg 3.24, 4 Ce 3.43
Ce (0.2852, 0.2852, 0.5703)  4 Ce 3.24, 4 Sc 3.37, 4 Mg 3.43